1.
The following is a GGA-PBE calculation of a relaxed structure of LiCdInSb, from Alexandria.

abc: 5.1764 5.1764 5.1764
angles: 60.00 60.00 60.00
Closest atoms and distances in Å follow each position.
Element x y z (fractional)
Sb: 0.5000 0.5000 0.5000  4 Cd 3.17, 4 Li 3.17
Cd: 0.7500 0.7500 0.7500  4 Sb 3.17, 4 In 3.17
Li: 0.2500 0.2500 0.2500  4 Sb 3.17, 4 In 3.17
In: 0.0000 0.0000 0.0000  4 Li 3.17, 4 Cd 3.17

Summary:
The density of states at the Fermi level comes out at 2.14 states/eV/f.u. The calculated total energy comes out at -10.09 eV for the cell shown.

***

2.
The following is a GGA-PBE calculation of a relaxed structure of Pm2AlSb4, from Alexandria.

abc: 4.3529 4.3529 10.5172
angles: 90.00 90.00 90.00
Closest atoms and distances in Å follow each position.
Element x y z (fractional)
Sb: 0.5000 0.0000 0.1575  2 Al 2.74
Sb: 0.0000 0.5000 0.8425  2 Al 2.74
Sb: 0.5000 0.5000 0.5000  4 Sb 3.08, 4 Pm 3.28
Sb: 0.0000 0.0000 0.5000  4 Sb 3.08, 4 Pm 3.28
Al: 0.5000 0.5000 0.0000  4 Sb 2.74
Pm: 0.5000 0.0000 0.7337  8 Sb 3.28, 2 Al 3.55
Pm: 0.0000 0.5000 0.2663  8 Sb 3.28, 2 Al 3.55

Summary:
The density of states at the Fermi level comes out at 1.96 states/eV/f.u. The calculated total energy comes out at -34.55 eV for the cell shown.

***

3.
The following is a GGA-PBE calculation of a relaxed structure of LiTbGdCu, from Alexandria.

abc: 5.0606 5.0606 5.0606
angles: 60.00 60.00 60.00
Closest atoms and distances in Å follow each position.
Element x y z (fractional)
Gd: 0.5000 0.5000 0.5000  4 Cu 3.10, 4 Li 3.10
Tb: 0.0000 0.0000 0.0000  4 Li 3.10, 4 Cu 3.10
Cu: 0.7500 0.7500 0.7500  4 Gd 3.10, 4 Tb 3.10
Li: 0.2500 0.2500 0.2500  4 Gd 3.10, 4 Tb 3.10

Summary:
The density of states at the Fermi level comes out at 4.82 states/eV/f.u. The formation energy is -0.1 eV per formula unit.